1:
Here is an optimized crystal structure of CrPdNO from Alexandria via LeMat-Bulk. Energies are from PBE+U.

Cell lengths 3.131, 3.131, 6.557 Å; angles 103.86, 103.86, 60.04 degrees
Atoms (fractional coordinates):
1 Cr 0.000 0.000 0.000
2 Pd 0.806 0.806 0.417
3 N 0.701 0.701 0.103
4 O 0.912 0.912 0.733

Magnetization ... 1.9 Bohr magnetons per cell
V ... 13.4 Å³ per atom
Symmetry ... Cm (8)



2:
Here is an optimized crystal structure of CrPdNO from Alexandria via LeMat-Bulk. Energies are from PBE+U.

Cell lengths 6.410, 6.410, 6.410 Å; angles 154.31, 154.31, 36.65 degrees
Atoms (fractional coordinates):
1 Cr 0.000 0.000 0.000
2 Pd 0.697 0.697 0.000
3 N 0.532 0.532 0.000
4 O 0.858 0.858 0.000

Magnetization ... 1.6 Bohr magnetons per cell
V ... 12.4 Å³ per atom
Symmetry ... I4mm (107)



Most stable pick: 1. Distance to second place: 0.041 eV/atom.